(1)
# LaNdFe2Ge4

A relaxed structure of LaNdFe2Ge4 (PBE, OQMD via LeMat-Bulk).

total magnetic moment = 0.0 μB per formula unit
energy = -49.25 eV/cell
SG = Pm (6)
calculated volume = 151.36 Å³/cell

Unit cell a=4.4229 b=4.2666 c=8.2848 alpha=90.00 beta=104.51 gamma=90.00
Last column: nearest neighbours and their distance in Å.
Fractional coordinates of all 8 atoms:
La 0.0000 0.0000 0.0000  9 Ge 3.06-3.38, 3 Fe 3.15-3.23
Nd 0.7520 0.5000 0.5801  9 Ge 3.04-3.38, 3 Fe 3.15-3.22
Fe 0.2578 0.0000 0.4004  5 Ge 2.31-2.44
Fe 0.4944 0.5000 0.1808  5 Ge 2.32-2.45
Ge 0.0617 0.5000 0.2911  4 Fe 2.32-2.45
Ge 0.3087 0.0000 0.6886  1 Fe 2.34
Ge 0.4435 0.5000 0.8908  1 Fe 2.36
Ge 0.6906 0.0000 0.2911  4 Fe 2.31-2.44

=====

(2)
# Cu

A relaxed structure of Cu (PBE, OQMD via LeMat-Bulk).

energy relative to the lowest polymorph listed for this composition = 117 meV per atom
formation enthalpy at 0 K = 0.1167 eV/atom
SG = Pmmn (59)
calculated volume = 293.93 Å³/cell

Unit cell a=2.5281 b=3.5734 c=32.5355 alpha=90.00 beta=90.00 gamma=90.00
Last column: nearest neighbours and their distance in Å.
Fractional coordinates of all 16 atoms:
Cu 0.2500 0.2500 0.0195  12 Cu 2.52-2.53
Cu 0.2500 0.2500 0.0972  12 Cu 2.53-2.55
Cu 0.2500 0.2500 0.1755  12 Cu 2.53-2.58
Cu 0.2500 0.2500 0.2548  11 Cu 2.50-2.58
Cu 0.2500 0.2500 0.7081  7 Cu 2.50-2.53
Cu 0.2500 0.2500 0.7858  12 Cu 2.53-2.56
Cu 0.2500 0.2500 0.8640  12 Cu 2.53-2.55
Cu 0.2500 0.2500 0.9419  12 Cu 2.52-2.53
Cu 0.7500 0.7500 0.0581  12 Cu 2.52-2.53
Cu 0.7500 0.7500 0.1360  12 Cu 2.53-2.55
Cu 0.7500 0.7500 0.2142  12 Cu 2.53-2.56
Cu 0.7500 0.7500 0.2919  7 Cu 2.50-2.53
Cu 0.7500 0.7500 0.7452  11 Cu 2.50-2.58
Cu 0.7500 0.7500 0.8245  12 Cu 2.53-2.58
Cu 0.7500 0.7500 0.9028  12 Cu 2.53-2.55
Cu 0.7500 0.7500 0.9805  12 Cu 2.52-2.53

=====

(3)
# KRbPAu

A relaxed structure of KRbPAu (PBE, OQMD via LeMat-Bulk).

energy = -25.21 eV/cell
SG = Amm2 (38)
calculated volume = 247.02 Å³/cell

Unit cell a=6.5288 b=6.2968 c=6.2968 alpha=107.40 beta=90.00 gamma=90.00
Last column: nearest neighbours and their distance in Å.
Fractional coordinates of all 8 atoms:
K 0.0000 0.1737 0.8263  2 P 3.38-3.52, 1 K 3.53, 2 Au 3.53
K 0.0000 0.8263 0.1737  2 P 3.38-3.52, 1 K 3.53, 2 Au 3.53
Rb 0.5000 0.5334 0.8786  4 P 3.40-3.80, 1 Rb 3.50, 2 Au 3.59
Rb 0.5000 0.8786 0.5334  4 P 3.40-3.80, 1 Rb 3.50, 2 Au 3.59
P 0.0000 0.5920 0.5920  2 Au 2.43
P 0.5000 0.1115 0.1115  2 Au 2.42
Au 0.2474 0.3490 0.3490  2 P 2.42-2.43
Au 0.7526 0.3490 0.3490  2 P 2.42-2.43

=====

(4)
# HfMgAu2

A relaxed structure of HfMgAu2 (PBE, OQMD via LeMat-Bulk).

total magnetic moment = 0.0 μB per formula unit
energy = -19.24 eV/cell
SG = F-43m (216)
calculated volume = 71.55 Å³/cell

Unit cell a=4.6599 b=4.6599 c=4.6599 alpha=60.00 beta=60.00 gamma=60.00
Last column: nearest neighbours and their distance in Å.
Fractional coordinates of all 4 atoms:
Hf 0.0000 0.0000 0.0000  4 Mg 2.85, 4 Au 2.85
Mg 0.7500 0.7500 0.7500  4 Hf 2.85, 4 Au 2.85
Au 0.2500 0.2500 0.2500  4 Hf 2.85, 4 Au 2.85
Au 0.5000 0.5000 0.5000  4 Mg 2.85, 4 Au 2.85

=====

(5)
# NdZn11

A relaxed structure of NdZn11 (PBE, OQMD via LeMat-Bulk).

total magnetic moment = 0.0 μB per formula unit
formation enthalpy at 0 K = -0.2164 eV/atom
SG = I4_1/amd (141)
calculated volume = 381.94 Å³/cell

Unit cell a=8.2261 b=8.2261 c=8.2261 alpha=99.87 beta=99.87 gamma=131.08
Last column: nearest neighbours and their distance in Å.
Fractional coordinates of all 24 atoms:
Nd 0.3750 0.6250 0.7500  18 Zn 3.26-3.41
Nd 0.6250 0.3750 0.2500  18 Zn 3.26-3.41
Zn 0.0000 0.0000 0.0000  10 Zn 2.59-2.78
Zn 0.0000 0.0000 0.5000  10 Zn 2.59-2.78
Zn 0.0000 0.5000 0.0000  10 Zn 2.59-2.78
Zn 0.1250 0.8750 0.2500  12 Zn 2.78-2.87
Zn 0.1324 0.5553 0.3338  8 Zn 2.58-2.87
Zn 0.1324 0.7986 0.5771  8 Zn 2.58-2.87
Zn 0.2014 0.2785 0.3338  8 Zn 2.58-2.87
Zn 0.2014 0.8676 0.9229  8 Zn 2.58-2.87
Zn 0.2785 0.2014 0.8338  8 Zn 2.58-2.87
Zn 0.2785 0.4447 0.0771  8 Zn 2.58-2.87
Zn 0.4447 0.2785 0.5771  8 Zn 2.58-2.87
Zn 0.4447 0.8676 0.1662  8 Zn 2.58-2.87
Zn 0.5000 0.0000 0.5000  10 Zn 2.59-2.78
Zn 0.5553 0.1324 0.8338  8 Zn 2.58-2.87
Zn 0.5553 0.7215 0.4229  8 Zn 2.58-2.87
Zn 0.7215 0.5553 0.9229  8 Zn 2.58-2.87
Zn 0.7215 0.7986 0.1662  8 Zn 2.58-2.87
Zn 0.7986 0.1324 0.0771  8 Zn 2.58-2.87
Zn 0.7986 0.7215 0.6662  8 Zn 2.58-2.87
Zn 0.8676 0.2014 0.4229  8 Zn 2.58-2.87
Zn 0.8676 0.4447 0.6662  8 Zn 2.58-2.87
Zn 0.8750 0.1250 0.7500  12 Zn 2.78-2.87